24
Lattice="4.5797 0.0000 0.0000 0.0000 12.6545 0.0000 0.0000 0.0000 12.5665" Properties=species:S:1:pos:R:3 comment="Ac3Ga2Cu | the Alexandria database | PBE-GGA | relaxed" density_g_cm3=8.1 relative_energy_ev_per_fu=0.00 pbc="T T T"
Ac 1.1449 4.6977 0.7039
Ac 3.4347 7.9568 11.8626
Ac 3.4347 11.0249 5.5793
Ac 1.1449 1.6295 6.9871
Ac 1.1449 8.7957 2.6933
Ac 3.4347 3.8588 9.8731
Ac 3.4347 2.4685 3.5899
Ac 1.1449 10.1860 8.9766
Ac 1.1449 5.6097 4.7578
Ac 3.4347 7.0448 7.8087
Ac 3.4347 11.9369 1.5255
Ac 1.1449 0.7176 11.0410
Ga 1.1449 8.6428 5.9628
Ga 3.4347 4.0116 6.6037
Ga 3.4347 2.3156 0.3205
Ga 1.1449 10.3389 12.2460
Ga 1.1449 0.0736 3.8559
Ga 3.4347 12.5808 8.7106
Ga 3.4347 6.4009 2.4273
Ga 1.1449 6.2536 10.1391
Cu 1.1449 1.5999 1.5773
Cu 3.4347 11.0546 10.9892
Cu 3.4347 7.9271 4.7059
Cu 1.1449 4.7273 7.8605

=====

11
Lattice="4.1884 0.0000 0.0000 0.0000 6.8226 -3.9390 0.0000 0.0000 7.8780" Properties=species:S:1:pos:R:3 comment="Ac2Ga6Cu3 | the Alexandria database | PBE-GGA | relaxed" density_g_cm3=7.8 energy_ev_per_atom=-3.894 pbc="T T T"
Ac 0.0000 4.5484 0.0000
Ac 0.0000 2.2742 3.9390
Ga 2.0942 4.7149 2.7221
Ga 2.0942 0.0000 2.4337
Ga 0.0000 1.2969 0.7488
Ga 0.0000 5.5256 -3.1902
Ga 2.0942 2.1077 -1.2169
Ga 0.0000 0.0000 6.3805
Cu 2.0942 2.4409 1.4092
Cu 2.0942 4.3817 -2.5298
Cu 2.0942 0.0000 5.0596